NpScS2N PBE optimized geometry; symmetry = P4/nmm, No. 129; E = -8.769 eV per atom
1.0
3.720 0.000 0.000
0.000 3.720 0.000
0.000 0.000 13.148
Np Sc S N
2 2 4 2
Direct
0.500 0.000 0.592 Np
0.000 0.500 0.408 Np
0.500 0.000 0.112 Sc
0.000 0.500 0.888 Sc
0.000 0.500 0.701 S
0.000 0.500 0.093 S
0.500 0.000 0.907 S
0.500 0.000 0.299 S
0.000 0.000 0.500 N
0.500 0.500 0.500 N



SmNpS2N PBE optimized geometry; symmetry = P4/nmm, No. 129; E = -8.483 eV per atom
1.0
-2.268 2.703 1.548
0.169 -1.805 3.400
11.324 7.534 3.436
Sm Np S N
2 2 4 2
Direct
0.500 0.000 0.125 Sm
0.000 0.500 0.875 Sm
0.500 0.000 0.583 Np
0.000 0.500 0.417 Np
0.000 0.500 0.685 S
0.000 0.500 0.091 S
0.500 0.000 0.909 S
0.500 0.000 0.315 S
0.000 0.000 0.500 N
0.500 0.500 0.500 N



ThNpS2N PBE optimized geometry; symmetry = P4/nmm, No. 129; E = -9.022 eV per atom
1.0
-0.520 -0.626 -3.889
0.086 -3.924 0.620
-13.698 -0.011 1.835
Th Np S N
2 2 4 2
Direct
0.500 0.000 0.587 Th
0.000 0.500 0.413 Th
0.500 0.000 0.111 Np
0.000 0.500 0.889 Np
0.000 0.500 0.704 S
0.000 0.500 0.093 S
0.500 0.000 0.907 S
0.500 0.000 0.296 S
0.000 0.000 0.500 N
0.500 0.500 0.500 N



NpUSN2 PBE optimized geometry; symmetry = I4mm, No. 107; E = -10.367 eV per atom
1.0
3.752 0.000 0.000
0.000 3.752 0.000
-1.876 -1.876 5.881
Np U S N
1 1 1 2
Direct
0.146 0.146 0.292 Np
0.850 0.850 0.699 U
0.499 0.499 0.999 S
0.752 0.252 0.505 N
0.252 0.752 0.505 N



NpUS2N PBE optimized geometry; symmetry = P4/nmm, No. 129; E = -9.612 eV per atom
1.0
3.817 0.000 0.000
0.000 3.817 0.000
0.000 0.000 13.552
Np U S N
2 2 4 2
Direct
0.500 0.000 0.113 Np
0.000 0.500 0.887 Np
0.500 0.000 0.588 U
0.000 0.500 0.412 U
0.000 0.500 0.689 S
0.000 0.500 0.095 S
0.500 0.000 0.905 S
0.500 0.000 0.311 S
0.000 0.000 0.500 N
0.500 0.500 0.500 N



YNpS2N PBE optimized geometry; symmetry = P4/nmm, No. 129; E = -8.858 eV per atom
1.0
-2.192 0.103 3.121
-1.112 -3.589 -0.663
10.539 -4.661 7.556
Y Np S N
2 2 4 2
Direct
0.500 0.000 0.121 Y
0.000 0.500 0.879 Y
0.500 0.000 0.585 Np
0.000 0.500 0.415 Np
0.000 0.500 0.690 S
0.000 0.500 0.092 S
0.500 0.000 0.908 S
0.500 0.000 0.310 S
0.000 0.000 0.500 N
0.500 0.500 0.500 N



ZrNpSN2 PBE optimized geometry; symmetry = P2_1/m, No. 11; E = -9.840 eV per atom
1.0
-1.256 -3.489 -1.309
5.866 -2.098 -0.038
-3.110 -1.331 6.532
Zr Np S N
2 2 2 4
Direct
0.250 0.668 0.424 Zr
0.750 0.332 0.576 Zr
0.250 0.696 0.934 Np
0.750 0.304 0.066 Np
0.250 0.037 0.743 S
0.750 0.963 0.257 S
0.750 0.514 0.380 N
0.250 0.486 0.620 N
0.750 0.527 0.885 N
0.250 0.473 0.115 N



NpSbN PBE optimized geometry; symmetry = P-6m2, No. 187; E = -8.974 eV per atom; distance to the lowest polymorph of the same formula = 324 meV/atom
1.0
-4.668 0.556 1.454
1.091 -0.169 3.567
-0.153 3.294 -1.752
Np Sb N
1 1 1
Direct
0.167 0.667 0.333 Np
0.667 0.333 0.667 Sb
0.167 0.000 0.000 N